This record from Alexandria via LeMat-Bulk describes a relaxed TcOs4Ru3 crystal. The functional is PBE.

abc: 4.6985 5.4296 5.4428
angles: 60.15 73.49 73.39
Closest atoms and distances in Å follow each position.
Space group P-1 (No. 2)
One atom of each set of equivalent atoms:
Tc: 0.0000 0.0000 0.0000 x1  6 Ru 2.71-2.72, 6 Os 2.71-2.72
Os: 0.0000 0.0000 0.5000 x1  6 Os 2.71-2.72, 4 Ru 2.71-2.72, 2 Tc 2.72
Os: 0.0000 0.5000 0.0000 x1  6 Os 2.71-2.72, 2 Tc 2.71, 4 Ru 2.72
Os: 0.5003 0.2499 0.2496 x2  5 Ru 2.71-2.73, 6 Os 2.71-2.73, 1 Tc 2.72
Ru: 0.0000 0.5000 0.5000 x1  6 Os 2.71-2.72, 4 Ru 2.72, 2 Tc 2.72
Ru: 0.4998 0.2492 0.7511 x2  6 Os 2.71-2.73, 2 Tc 2.71, 4 Ru 2.71-2.73

Values from the calculation:
- ΔH_f (0 K): 0.090 eV per atom
- Theoretical density: 17.0 g cm⁻³

---

This record from Alexandria via LeMat-Bulk describes a relaxed Pr3Ga9Cu2 crystal. The functional is PBE.

abc: 4.3028 10.1435 12.5260
angles: 90.00 90.00 90.00
Closest atoms and distances in Å follow each position.
Space group Immm (No. 71)
One atom of each set of equivalent atoms:
Pr: 0.0000 0.0000 0.0000 x2  12 Ga 3.23-3.25, 4 Cu 3.52
Pr: 0.0000 0.0000 0.3201 x4  10 Ga 3.12-3.20, 2 Cu 3.21
Ga: 0.0000 0.2748 0.1296 x8  4 Ga 2.64-2.80, 2 Cu 2.70
Ga: 0.0000 0.3695 0.3362 x8  1 Cu 2.52, 4 Ga 2.64-2.76
Ga: 0.0000 0.5000 0.0000 x2  4 Ga 2.80, 4 Pr 3.12
Cu: 0.0000 0.2254 0.5000 x4  6 Ga 2.52-2.70

Values from the calculation:
- ΔH_f (0 K): -0.502 eV per atom
- Theoretical density: 7.2 g cm⁻³

---

This record from Alexandria via LeMat-Bulk describes a relaxed RuC3 crystal. The functional is PBE.

abc: 3.5756 10.1090 4.1089
angles: 90.00 90.00 90.00
Closest atoms and distances in Å follow each position.
Space group Cmcm (No. 63)
One atom of each set of equivalent atoms:
Ru: 0.0000 0.0778 0.2500 x4  2 C 2.07
C: 0.0000 0.1956 0.7500 x4  2 C 1.47
C: 0.1996 0.4030 0.2500 x8  2 C 1.43-1.47

Values from the calculation:
- ΔH_f (0 K): 1.207 eV per atom
- Energy above the lowest structure with this stoichiometry: 1.21 eV/f.u.
- Theoretical density: 6.1 g cm⁻³